# 1
Compound: TaBe2Al2
Source: Alexandria via LeMat-Bulk
Functional: PBE
Structure: relaxed

Final energy = -5.3690 eV/atom
Symmetry = P4/mbm
Calculated formation energy = -0.055 eV per formula unit

a b c (Å): 6.7959 6.7959 2.8491
angles (deg): 90.00 90.00 90.00
With the nearest neighbours (Å) after each atom.
Atoms (fractional coordinates):
Be 0.3826 0.8826 0.0000  1 Be 2.26, 6 Al 2.45-2.47
Al 0.8252 0.3252 0.5000  6 Be 2.45-2.47
Ta 0.5000 0.5000 0.0000  4 Be 2.72, 2 Ta 2.85, 8 Al 2.89
Be 0.1174 0.3826 0.0000  1 Be 2.26, 6 Al 2.45-2.47
Al 0.3252 0.1748 0.5000  6 Be 2.45-2.47
Be 0.6174 0.1174 0.0000  1 Be 2.26, 6 Al 2.45-2.47
Al 0.1748 0.6748 0.5000  6 Be 2.45-2.47
Al 0.6748 0.8252 0.5000  6 Be 2.45-2.47
Ta 0.0000 0.0000 0.0000  4 Be 2.72, 2 Ta 2.85, 8 Al 2.89
Be 0.8826 0.6174 0.0000  1 Be 2.26, 6 Al 2.45-2.47

# 2
Compound: TiIOF2
Source: Alexandria via LeMat-Bulk
Functional: PBE
Structure: relaxed

Relative energy among the computed polymorphs = 0.0 meV per atom
Final energy = -5.4366 eV/atom
Symmetry = P4/mmm

a b c (Å): 4.3765 4.3765 3.8230
angles (deg): 90.00 90.00 90.00
With the nearest neighbours (Å) after each atom.
Atoms (fractional coordinates):
F 0.5000 0.0000 0.0000  2 Ti 2.19
O 0.0000 0.0000 0.5000  2 Ti 1.91
F 0.0000 0.5000 0.0000  2 Ti 2.19
Ti 0.0000 0.0000 0.0000  2 O 1.91
I 0.5000 0.5000 0.5000  8 F 2.91, 4 O 3.09

# 3
Compound: Zn2GaPt2
Source: Alexandria via LeMat-Bulk
Functional: PBE
Structure: relaxed

Relative energy among the computed polymorphs = 121.5 meV per atom
Final energy = -3.8940 eV/atom
Symmetry = I4/mmm
Calculated formation energy = -1.814 eV per formula unit

a b c (Å): 3.4510 3.4510 7.1141
angles (deg): 75.96 75.96 90.00
With the nearest neighbours (Å) after each atom.
Atoms (fractional coordinates):
Zn 0.7500 0.2500 0.5000  4 Zn 2.44, 4 Pt 2.64
Pt 0.3998 0.3998 0.2005  4 Zn 2.64, 1 Pt 2.68, 4 Ga 2.78
Zn 0.2500 0.7500 0.5000  4 Zn 2.44, 4 Pt 2.64
Pt 0.6002 0.6002 0.7995  4 Zn 2.64, 1 Pt 2.68, 4 Ga 2.78
Ga 0.0000 0.0000 0.0000  8 Pt 2.78

# 4
Compound: RbMgCd4
Source: Alexandria via LeMat-Bulk
Functional: PBE
Structure: relaxed

Final energy = -0.9975 eV/atom
Symmetry = F-43m
Calculated formation energy = 0.238 eV per formula unit

a b c (Å): 6.1557 6.1557 6.1557
angles (deg): 60.00 60.00 60.00
With the nearest neighbours (Å) after each atom.
Atoms (fractional coordinates):
Mg 0.0000 0.0000 0.0000  12 Cd 3.61, 4 Rb 3.77
Cd 0.6255 0.1236 0.6255  6 Cd 3.07-3.09
Cd 0.6255 0.6255 0.1236  6 Cd 3.07-3.09
Cd 0.1236 0.6255 0.6255  6 Cd 3.07-3.09
Cd 0.6255 0.6255 0.6255  6 Cd 3.07-3.09
Rb 0.2500 0.2500 0.2500  12 Cd 3.61, 4 Mg 3.77

# 5
Compound: CoPt9Rh2
Source: Alexandria via LeMat-Bulk
Functional: PBE
Structure: relaxed

Final energy = -6.3878 eV/atom
Symmetry = P4/mmm
Calculated formation energy = -0.477 eV per formula unit

a b c (Å): 3.9176 3.9176 11.8008
angles (deg): 90.00 90.00 90.00
With the nearest neighbours (Å) after each atom.
Atoms (fractional coordinates):
Pt 0.0000 0.5000 0.5000  4 Rh 2.77, 8 Pt 2.77-2.81
Pt 0.5000 0.0000 0.8382  8 Pt 2.74-2.78, 2 Co 2.74, 2 Rh 2.82
Pt 0.5000 0.0000 0.1618  2 Co 2.74, 8 Pt 2.74-2.78, 2 Rh 2.82
Co 0.0000 0.0000 0.0000  12 Pt 2.74-2.77
Rh 0.0000 0.0000 0.6658  12 Pt 2.77-2.82
Pt 0.5000 0.5000 0.3292  4 Rh 2.77, 8 Pt 2.78-2.81
Pt 0.5000 0.0000 0.5000  4 Rh 2.77, 8 Pt 2.77-2.81
Pt 0.0000 0.5000 0.8382  2 Co 2.74, 8 Pt 2.74-2.78, 2 Rh 2.82
Pt 0.5000 0.5000 0.6708  4 Rh 2.77, 8 Pt 2.78-2.81
Pt 0.5000 0.5000 0.0000  8 Pt 2.74, 4 Co 2.77
Pt 0.0000 0.5000 0.1618  8 Pt 2.74-2.78, 2 Co 2.74, 2 Rh 2.82
Rh 0.0000 0.0000 0.3342  12 Pt 2.77-2.82

# 6
Compound: KDy2C2N6
Source: Alexandria via LeMat-Bulk
Functional: PBE
Structure: relaxed

Final energy = -7.5661 eV/atom
Symmetry = C2/m

a b c (Å): 6.1258 5.9633 6.1507
angles (deg): 111.71 89.98 59.11
With the nearest neighbours (Å) after each atom.
Atoms (fractional coordinates):
N 0.9749 0.4182 0.1873  1 C 1.34
C 0.1638 0.6727 0.7487  3 N 1.34
Dy 0.8284 0.3433 0.7998  6 N 2.27-2.51
N 0.3932 0.5822 0.8130  1 C 1.34
K 0.5000 0.0000 0.5000  4 N 2.98-2.99, 2 C 3.11
N 0.6068 0.4178 0.1870  1 C 1.34
N 0.0779 0.8445 0.6351  1 C 1.34
Dy 0.1716 0.6567 0.2002  6 N 2.27-2.51
N 0.9221 0.1555 0.3649  1 C 1.34
N 0.0251 0.5818 0.8127  1 C 1.34
C 0.8362 0.3273 0.2513  3 N 1.34

# 7
Compound: SrMn
Source: Alexandria via LeMat-Bulk
Functional: PBE
Structure: relaxed

Final energy = -4.8911 eV/atom
Symmetry = Imm2
Calculated formation energy = 1.069 eV per formula unit

a b c (Å): 7.6648 7.6648 7.6648
angles (deg): 147.87 127.41 62.97
With the nearest neighbours (Å) after each atom.
Atoms (fractional coordinates):
Mn 0.8284 0.0935 0.7348  1 Mn 2.44
Sr 0.0918 0.7889 0.3029  3 Mn 3.31-3.35
Mn 0.5540 0.5000 0.0540  4 Mn 2.74
Mn 0.6413 0.9065 0.7348  1 Mn 2.44
Sr 0.0366 0.5000 0.5366  6 Mn 3.19-3.51
Sr 0.5141 0.2111 0.3029  3 Mn 3.31-3.35

# 8
Compound: NaAlRh2
Source: Alexandria via LeMat-Bulk
Functional: PBE
Structure: relaxed

Final energy = -4.8426 eV/atom
Symmetry = I-42d
Calculated formation energy = 0.394 eV per formula unit

a b c (Å): 7.0712 7.0712 5.7027
angles (deg): 51.69 51.69 90.00
With the nearest neighbours (Å) after each atom.
Atoms (fractional coordinates):
Na 0.5000 0.5000 0.0000  2 Al 2.74, 8 Rh 2.83-3.07
Rh 0.8750 0.9219 0.7500  2 Al 2.38
Al 0.7500 0.2500 0.5000  4 Rh 2.38
Rh 0.6719 0.1250 0.2500  2 Al 2.38
Al 0.0000 0.0000 0.0000  4 Rh 2.38
Rh 0.3750 0.3281 0.7500  2 Al 2.38
Rh 0.0781 0.6250 0.2500  2 Al 2.38
Na 0.2500 0.7500 0.5000  2 Al 2.74, 8 Rh 2.83-3.07

> Number 4 is which compound?

RbMgCd4

Copy entry 3 word for word.
Compound: Zn2GaPt2
Source: Alexandria via LeMat-Bulk
Functional: PBE
Structure: relaxed

Relative energy among the computed polymorphs = 121.5 meV per atom
Final energy = -3.8940 eV/atom
Symmetry = I4/mmm
Calculated formation energy = -1.814 eV per formula unit

a b c (Å): 3.4510 3.4510 7.1141
angles (deg): 75.96 75.96 90.00
With the nearest neighbours (Å) after each atom.
Atoms (fractional coordinates):
Zn 0.7500 0.2500 0.5000  4 Zn 2.44, 4 Pt 2.64
Pt 0.3998 0.3998 0.2005  4 Zn 2.64, 1 Pt 2.68, 4 Ga 2.78
Zn 0.2500 0.7500 0.5000  4 Zn 2.44, 4 Pt 2.64
Pt 0.6002 0.6002 0.7995  4 Zn 2.64, 1 Pt 2.68, 4 Ga 2.78
Ga 0.0000 0.0000 0.0000  8 Pt 2.78

> Look up the final energy of the seventh one.

-4.8911 eV/atom